Compound: Y2Mg3Hg4
Source: the Alexandria database
Functional: GGA-PBE
Structure: optimized geometry

extended XYZ file:
```
9
Lattice="2.5093 4.3481 -0.1460 -2.5093 4.3481 -0.1460 0.0000 0.3553 9.6825" Properties=species:S:1:pos:R:3 pbc="T T T"
Hg 0.0000 8.8098 3.0254
Hg 0.0000 3.2196 8.5745
Hg 0.0000 0.2417 6.3651
Hg 0.0000 5.8320 0.8160
Y 0.0000 6.0816 7.4262
Y 0.0000 2.9700 1.9643
Mg 0.0000 5.9471 3.9500
Mg 0.0000 0.0000 0.0000
Mg 0.0000 3.1045 5.4405
```

Energy relative to the lowest polymorph listed for this composition = 0 meV per atom
M_tot = 0.000 μB per atom
Energy of formation from the pure elements = -0.367 eV per atom
E = -22.23 eV/cell